Computed, not measured: a relaxed ZnCdGeSe3 crystal at the GGA-PBE level of DFT.

abc: 3.7900 7.0483 11.8980
angles: 90.00 90.00 74.40
With the nearest neighbours (Å) after each atom.
Atoms (fractional coordinates):
Ge: 0.2096 0.5808 0.2500  2 Se 2.68
Ge: 0.7904 0.4192 0.7500  2 Se 2.68
Se: 0.1513 0.6974 0.7500  2 Ge 2.68, 2 Cd 2.70
Se: 0.3875 0.2250 0.5769  2 Zn 2.60, 1 Cd 2.64
Se: 0.6125 0.7750 0.4231  2 Zn 2.60, 1 Cd 2.64
Se: 0.8487 0.3026 0.2500  2 Ge 2.68, 2 Cd 2.70
Se: 0.6125 0.7750 0.0769  2 Zn 2.60, 1 Cd 2.64
Zn: 0.0000 0.0000 0.0000  4 Se 2.60
Cd: 0.4907 0.0186 0.2500  4 Se 2.64-2.70
Se: 0.3875 0.2250 0.9231  2 Zn 2.60, 1 Cd 2.64
Zn: 0.0000 0.0000 0.5000  4 Se 2.60
Cd: 0.5093 0.9814 0.7500  4 Se 2.64-2.70

Calculated values
**Offset from the most stable computed form**: 88 meV per atom
**V**: 25.5 Å³ per atom